# Na3HIr

An optimized crystal structure of Na3HIr (PBE-GGA, Alexandria).

Summary:
The calculation puts the density of states at the Fermi level at 2.6 states/eV/cell. Its relative energy among the computed polymorphs is 0.0000 eV per atom.

abc: 4.5278 4.5278 4.5278
angles: 90.00 90.00 90.00
Last column: nearest neighbours and their distance in Å.
Element x y z (fractional)
Na: 0.0000 0.0000 0.5000  2 H 2.26
Na: 0.0000 0.5000 0.0000  2 H 2.26
Na: 0.5000 0.0000 0.0000  2 H 2.26
H: 0.0000 0.0000 0.0000  6 Na 2.26
Ir: 0.5000 0.5000 0.5000  12 Na 3.20

---

# NaHIr3

An optimized crystal structure of NaHIr3 (PBE-GGA, Alexandria).

Summary:
The calculation puts the density of states at the Fermi level at 8.7 states/eV/cell. Its relative energy among the computed polymorphs is 2.6874 eV per atom.

abc: 4.5499 4.5499 4.5499
angles: 90.00 90.00 90.00
Last column: nearest neighbours and their distance in Å.
Element x y z (fractional)
Na: 0.0000 0.0000 0.0000  6 Ir 2.27
H: 0.5000 0.5000 0.5000  12 Ir 3.22
Ir: 0.0000 0.0000 0.5000  2 Na 2.27
Ir: 0.0000 0.5000 0.0000  2 Na 2.27
Ir: 0.5000 0.0000 0.0000  2 Na 2.27

---

# NaH2Ir

An optimized crystal structure of NaH2Ir (PBE-GGA, Alexandria).

Summary:
The calculation puts the density of states at the Fermi level at 4.5 states/eV/cell. Its relative energy among the computed polymorphs is 0.7659 eV per atom.

abc: 5.3750 5.3750 5.3750
angles: 90.00 90.00 90.00
Last column: nearest neighbours and their distance in Å.
Element x y z (fractional)
Na: 0.0000 0.0000 0.0000  8 H 2.33
Na: 0.0000 0.5000 0.5000  8 H 2.33
Na: 0.5000 0.0000 0.5000  8 H 2.33
Na: 0.5000 0.5000 0.0000  8 H 2.33
H: 0.2500 0.2500 0.2500  4 Na 2.33, 4 Ir 2.33
H: 0.2500 0.2500 0.7500  4 Na 2.33, 4 Ir 2.33
H: 0.2500 0.7500 0.2500  4 Na 2.33, 4 Ir 2.33
H: 0.2500 0.7500 0.7500  4 Na 2.33, 4 Ir 2.33
H: 0.7500 0.2500 0.2500  4 Na 2.33, 4 Ir 2.33
H: 0.7500 0.2500 0.7500  4 Na 2.33, 4 Ir 2.33
H: 0.7500 0.7500 0.2500  4 Na 2.33, 4 Ir 2.33
H: 0.7500 0.7500 0.7500  4 Na 2.33, 4 Ir 2.33
Ir: 0.0000 0.0000 0.5000  8 H 2.33
Ir: 0.0000 0.5000 0.0000  8 H 2.33
Ir: 0.5000 0.0000 0.0000  8 H 2.33
Ir: 0.5000 0.5000 0.5000  8 H 2.33

---

# NaH5Ir

An optimized crystal structure of NaH5Ir (PBE-GGA, Alexandria).

Summary:
The calculation puts the total energy at -56.066 eV per cell. The calculation puts the density of states at the Fermi level at 1.3 states/eV/cell.

abc: 6.5920 6.5920 4.6825
angles: 90.00 90.00 145.98
Last column: nearest neighbours and their distance in Å.
Element x y z (fractional)
Na: 0.1565 0.8435 0.7500  12 H 2.31-2.52
Na: 0.8435 0.1565 0.2500  12 H 2.31-2.52
H: 0.0987 0.9013 0.2500  2 Ir 1.94, 4 H 2.00
H: 0.2686 0.2686 0.0000  3 H 1.78-2.00, 2 Ir 1.79
H: 0.2686 0.2686 0.5000  3 H 1.78-2.00, 2 Ir 1.79
H: 0.3245 0.6755 0.5149  1 Ir 1.63
H: 0.3245 0.6755 0.9851  1 Ir 1.63
H: 0.6755 0.3245 0.0149  1 Ir 1.63
H: 0.6755 0.3245 0.4851  1 Ir 1.63
H: 0.7314 0.7314 0.0000  3 H 1.78-2.00, 2 Ir 1.79
H: 0.7314 0.7314 0.5000  3 H 1.78-2.00, 2 Ir 1.79
H: 0.9013 0.0987 0.7500  2 Ir 1.94, 4 H 2.00
Ir: 0.4195 0.5805 0.7500  6 H 1.63-1.79
Ir: 0.5805 0.4195 0.2500  6 H 1.63-1.79